An optimized crystal structure of Tb2Ga2BRh4. Source: the Alexandria database, functional PBE.

Final energy   -6.4002 eV per atom
Symmetry   I4/mmm, No. 139
V   147.21 Å³ per cell
Density   9.92 Mg/m³
Calculated formation energy   -0.69 eV per atom

Geometry as POSCAR:
```
Tb2Ga2BRh4
1.0
5.8658 0.0474 0.0684
-2.7741 5.1686 -0.0684
-2.7741 -1.8799 4.8151
Tb Rh Ga B
2 4 2 1
Direct
0.5000 0.7500 0.2500
0.5000 0.2500 0.7500
0.0000 0.7534 0.2466
0.5067 0.7534 0.7534
0.0000 0.2466 0.7534
0.4933 0.2466 0.2466
0.0000 0.3077 0.3077
0.0000 0.6923 0.6923
0.0000 0.0000 0.0000
```

An optimized crystal structure of CePuPaIn. Source: the Alexandria database, functional PBE.

Final energy   -8.0551 eV per atom
Symmetry   F-43m, No. 216
V   103.15 Å³ per cell
Density   11.75 Mg/m³
Calculated formation energy   0.07 eV per atom

Geometry as POSCAR:
```
CePuPaIn
1.0
5.2642 0.0000 0.0000
2.6321 4.5589 0.0000
2.6321 1.5196 4.2982
Pu Pa In Ce
1 1 1 1
Direct
0.7500 0.7500 0.7500
0.5000 0.5000 0.5000
0.0000 0.0000 0.0000
0.2500 0.2500 0.2500
```

An optimized crystal structure of NdCd8Cu4. Source: the Alexandria database, functional PBE.

Final energy   -2.2915 eV per atom
Symmetry   I4/mmm, No. 139
V   251.26 Å³ per cell
Density   8.58 Mg/m³
Calculated formation energy   -0.10 eV per atom

Geometry as POSCAR:
```
NdCd8Cu4
1.0
-1.3535 -4.9697 -1.5337
5.6318 -3.4449 -3.2232
1.3208 -4.9038 5.3086
Cd Nd Cu
8 1 4
Direct
0.6584 0.3416 0.3416
0.2832 0.2168 0.2168
0.0000 0.6584 0.3416
0.5000 0.2168 0.7832
0.3416 0.6584 0.6584
0.7168 0.7832 0.7832
0.5000 0.7832 0.2168
0.0000 0.3416 0.6584
0.0000 0.0000 0.0000
0.0000 0.5000 0.0000
0.0000 0.0000 0.5000
0.5000 0.5000 0.0000
0.5000 0.0000 0.5000
```

An optimized crystal structure of Nb3CrMo4. Source: the Alexandria database, functional PBE.

Final energy   -10.4517 eV per atom
Symmetry   P4/mmm, No. 123
V   129.53 Å³ per cell
Density   9.16 Mg/m³
Calculated formation energy   -0.06 eV per atom

Geometry as POSCAR:
```
Nb3CrMo4
1.0
-1.5214 -0.8792 -2.6580
2.5460 -1.6927 -0.8974
-4.6623 -10.2196 6.0491
Mo Nb Cr
4 3 1
Direct
0.0000 0.0000 0.1146
0.0000 0.0000 0.8854
0.0000 0.0000 0.6291
0.0000 0.0000 0.3709
0.5000 0.5000 0.2443
0.5000 0.5000 0.7557
0.5000 0.5000 0.5000
0.5000 0.5000 0.0000
```

An optimized crystal structure of MgHgPt2. Source: the Alexandria database, functional PBE.

Final energy   -3.9138 eV per atom
Symmetry   Cmmm, No. 65
V   68.50 Å³ per cell
Density   14.91 Mg/m³
Calculated formation energy   -0.42 eV per atom

Geometry as POSCAR:
```
MgHgPt2
1.0
4.8430 -0.0269 -0.0011
-1.2316 4.6839 -0.0011
0.0003 0.0004 3.0239
Mg Pt Hg
1 2 1
Direct
0.0000 0.5000 0.5000
0.0000 0.0000 0.0000
0.5000 0.5000 0.0000
0.5000 0.0000 0.5000
```

An optimized crystal structure of Cd12Hg5Pb2. Source: the Alexandria database, functional PBE.

Final energy   -0.9776 eV per atom
Symmetry   C2/m, No. 12
V   502.13 Å³ per cell
Density   9.15 Mg/m³
Calculated formation energy   0.07 eV per atom

Geometry as POSCAR:
```
Cd12Hg5Pb2
1.0
-4.6845 -4.4022 -1.4226
5.5368 1.3436 -7.1548
4.5393 -6.3769 4.7857
Hg Cd Pb
5 12 2
Direct
0.2913 0.5826 0.6004
0.7087 0.4174 0.3996
0.6363 0.2727 0.8766
0.0000 0.0000 0.5000
0.3637 0.7273 0.1234
0.4429 0.4124 0.1291
0.1050 0.7156 0.3867
0.9695 0.4124 0.1291
0.6106 0.7156 0.3867
0.5571 0.5876 0.8709
0.8956 0.7911 0.7105
0.8950 0.2844 0.6133
0.1044 0.2089 0.2895
0.0305 0.5876 0.8709
0.4752 0.9504 0.6578
0.3894 0.2844 0.6133
0.5248 0.0496 0.3422
0.7507 0.0000 0.0000
0.2493 0.0000 0.0000
```

An optimized crystal structure of Ca2LaMn. Source: the Alexandria database, functional PBE.

Final energy   -4.1234 eV per atom
Symmetry   Fm-3m, No. 225
Distance to the lowest polymorph of the same formula   208.9 meV/atom
V   125.32 Å³ per cell
Density   3.63 Mg/m³
Calculated formation energy   0.40 eV per atom

Geometry as POSCAR:
```
Ca2LaMn
1.0
-5.4935 -0.4779 1.0694
-3.6704 3.3645 -2.5998
-3.4501 -2.0939 -3.9069
Ca Mn La
2 1 1
Direct
0.2500 0.2500 0.2500
0.7500 0.7500 0.7500
0.0000 0.0000 0.0000
0.5000 0.5000 0.5000
```

An optimized crystal structure of Ca2MnCl. Source: the Alexandria database, functional PBE.

Final energy   -4.1434 eV per atom
Symmetry   Imm2, No. 44
Distance to the lowest polymorph of the same formula   129.3 meV/atom
V   107.68 Å³ per cell
E_form (uncorrected)   -0.389 eV per atom
Density   2.63 Mg/m³

Geometry as POSCAR:
```
Ca2MnCl
1.0
8.7488 0.0458 -0.0048
7.2522 4.8939 0.0048
-7.9667 -2.5794 2.5343
Ca Mn Cl
2 1 1
Direct
0.9458 0.9458 0.0000
0.7001 0.2001 0.5000
0.3058 0.8058 0.5000
0.5483 0.5483 0.0000
```